Compound: SrCa2Tl
Source: Alexandria via LeMat-Bulk
Functional: PBE-GGA
Structure: optimized geometry

Unit cell a=7.1859 b=7.1859 c=3.8454 alpha=103.48 beta=103.48 gamma=119.41
Fractional positions:
Sr 0.0000 0.0000 0.0000
Ca 0.0000 0.5000 0.5000
Ca 0.5000 0.0000 0.5000
Tl 0.5000 0.5000 0.0000

Calculated values
As for the crystal system: monoclinic. The density comes out at 4.029 g/cm³. For the formation energy, the calculation gives -0.3 eV per formula unit. As for the space-group type: C2/m, No. 12. The calculation puts the distance to the lowest polymorph of the same formula at 0.179 eV/atom.